# 1
Sr2Zn2Cd15, relaxed, DFT PBE-GGA; formation enthalpy at 0 K = -237 kJ/mol of formula units; density of states at the Fermi level = 7.2 states/eV per cell; SG = R-3m (166)
1.0
7.731 -0.012 -0.011
0.991 7.668 -0.011
0.991 0.870 7.618
Sr Zn Cd
2 2 15
Direct
0.331 0.331 0.331 Sr
0.669 0.669 0.669 Sr
0.093 0.093 0.093 Zn
0.907 0.907 0.907 Zn
0.500 0.000 0.000 Cd
0.000 0.000 0.500 Cd
0.000 0.500 0.000 Cd
0.000 0.704 0.296 Cd
0.704 0.296 0.000 Cd
0.296 0.000 0.704 Cd
0.296 0.704 0.000 Cd
0.704 0.000 0.296 Cd
0.000 0.296 0.704 Cd
0.160 0.645 0.645 Cd
0.645 0.645 0.160 Cd
0.645 0.160 0.645 Cd
0.840 0.355 0.355 Cd
0.355 0.355 0.840 Cd
0.355 0.840 0.355 Cd

---

# 2
Sr2ZnCd, relaxed, DFT PBE-GGA; formation enthalpy at 0 K = -32 kJ/mol of formula units; density of states at the Fermi level = 3.0 states/eV per cell; SG = I-4m2 (119)
1.0
-5.785 1.381 2.960
-4.113 -5.034 1.370
6.421 1.455 0.887
Cd Sr Zn
1 2 1
Direct
0.750 0.250 0.500 Cd
0.000 0.000 0.000 Sr
0.250 0.750 0.500 Sr
0.500 0.500 0.000 Zn

---

# 3
Sr8ZnCd2, relaxed, DFT PBE-GGA; formation enthalpy at 0 K = -134 kJ/mol of formula units; density of states at the Fermi level = 14.6 states/eV per cell; energy above the lowest structure with this stoichiometry = 0 meV per atom; SG = C2/m (12)
1.0
5.796 0.000 0.000
0.000 8.015 0.155
-2.898 -3.253 9.813
Sr Zn Cd
8 1 2
Direct
0.407 0.557 0.813 Sr
0.663 0.966 0.326 Sr
0.793 0.686 0.587 Sr
0.970 0.208 0.941 Sr
0.207 0.314 0.413 Sr
0.337 0.034 0.674 Sr
0.593 0.443 0.187 Sr
0.030 0.792 0.059 Sr
0.500 0.000 0.000 Zn
0.816 0.285 0.633 Cd
0.184 0.715 0.367 Cd

---

# 4
SrZnCd3, relaxed, DFT PBE-GGA; formation enthalpy at 0 K = -116 kJ/mol of formula units; density of states at the Fermi level = 2.5 states/eV per cell; energy above the lowest structure with this stoichiometry = 0 meV per atom; SG = Cm (8)
1.0
4.538 0.000 0.002
0.001 4.540 0.001
2.270 2.269 6.227
Sr Zn Cd
1 1 3
Direct
0.409 0.212 0.888 Sr
0.013 0.817 0.681 Zn
0.645 0.948 0.416 Cd
0.145 0.449 0.416 Cd
0.797 0.600 0.110 Cd

---

# 5
Sr3Zn3Cd8, relaxed, DFT PBE-GGA; formation enthalpy at 0 K = -309 kJ/mol of formula units; density of states at the Fermi level = 5.5 states/eV per cell; SG = Immm (71)
1.0
4.755 0.000 1.256
1.801 8.443 2.810
0.155 0.825 9.040
Sr Zn Cd
3 3 8
Direct
0.500 0.500 0.500 Sr
0.791 0.209 0.209 Sr
0.209 0.791 0.791 Sr
0.500 0.000 0.000 Zn
0.000 0.843 0.157 Zn
0.000 0.157 0.843 Zn
0.628 0.075 0.669 Cd
0.372 0.925 0.331 Cd
0.628 0.669 0.075 Cd
0.372 0.331 0.925 Cd
0.846 0.801 0.506 Cd
0.154 0.199 0.494 Cd
0.846 0.506 0.801 Cd
0.154 0.494 0.199 Cd

---

# 6
Sr2ZrCd, relaxed, DFT PBE-GGA; formation enthalpy at 0 K = 121 kJ/mol of formula units; density of states at the Fermi level = 5.2 states/eV per cell; SG = Cmmm (65)
1.0
-2.585 -4.595 -6.163
5.690 -0.684 2.409
-0.739 -3.438 0.771
Cd Sr Zr
1 2 1
Direct
0.500 0.500 0.000 Cd
0.000 0.000 0.000 Sr
0.500 0.000 0.500 Sr
0.000 0.500 0.500 Zr

---

# 7
Sr2ZrCd, relaxed, DFT PBE-GGA; formation enthalpy at 0 K = 211 kJ/mol of formula units; density of states at the Fermi level = 5.8 states/eV per cell; SG = I-42d (122)
1.0
9.153 0.000 0.000
0.000 9.153 0.000
4.576 4.576 3.354
Sr Zr Cd
4 2 2
Direct
0.653 0.125 0.250 Sr
0.097 0.625 0.250 Sr
0.375 0.347 0.750 Sr
0.875 0.903 0.750 Sr
0.500 0.500 0.000 Zr
0.250 0.750 0.500 Zr
0.000 0.000 0.000 Cd
0.750 0.250 0.500 Cd

---

# 8
Sr2ZrCd, relaxed, DFT PBE-GGA; formation enthalpy at 0 K = 151 kJ/mol of formula units; density of states at the Fermi level = 5.2 states/eV per cell; SG = F-43m (216)
1.0
-0.247 -3.171 4.667
-3.809 -4.150 0.396
1.672 -5.392 -0.158
Cd Sr Zr
1 2 1
Direct
0.500 0.500 0.500 Cd
0.000 0.000 0.000 Sr
0.250 0.250 0.250 Sr
0.750 0.750 0.750 Zr

---

# 9
Sr2ZrCd, relaxed, DFT PBE-GGA; formation enthalpy at 0 K = 141 kJ/mol of formula units; density of states at the Fermi level = 5.9 states/eV per cell; SG = I4/mmm (139)
1.0
6.250 0.036 0.000
2.065 5.899 0.000
-4.158 -2.968 3.602
Cd Sr Zr
1 2 1
Direct
0.750 0.250 0.500 Cd
0.000 0.000 0.000 Sr
0.500 0.500 0.000 Sr
0.250 0.750 0.500 Zr

---

# 10
SrZrCd, relaxed, DFT PBE-GGA; formation enthalpy at 0 K = 43 kJ/mol of formula units; density of states at the Fermi level = 7.0 states/eV per cell; energy above the lowest structure with this stoichiometry = 115 meV per atom; SG = P4/mmm (123)
1.0
-0.188 -2.761 -4.425
-1.259 -0.487 3.435
-11.142 5.951 -3.240
Cd Sr Zr
2 2 2
Direct
0.694 0.389 0.000 Cd
0.194 0.389 0.500 Cd
0.694 0.389 0.323 Sr
0.694 0.389 0.677 Sr
0.194 0.389 0.880 Zr
0.194 0.389 0.120 Zr

---

# 11
SrZrCd, relaxed, DFT PBE-GGA; formation enthalpy at 0 K = 328 kJ/mol of formula units; density of states at the Fermi level = 3.8 states/eV per cell; energy above the lowest structure with this stoichiometry = 1097 meV per atom; SG = F-43m (216)
1.0
-0.727 1.688 4.861
-4.808 0.331 1.944
-1.542 -3.311 3.697
Cd Sr Zr
1 1 1
Direct
0.500 0.500 0.500 Cd
0.250 0.250 0.250 Sr
0.000 0.000 0.000 Zr

---

# 12
Sr2ZrCd, relaxed, DFT PBE-GGA; formation enthalpy at 0 K = 145 kJ/mol of formula units; density of states at the Fermi level = 6.0 states/eV per cell; SG = I-4m2 (119)
1.0
6.367 0.002 0.000
2.394 5.900 0.000
-4.381 -2.951 3.556
Cd Sr Zr
1 2 1
Direct
0.750 0.250 0.500 Cd
0.000 0.000 0.000 Sr
0.250 0.750 0.500 Sr
0.500 0.500 0.000 Zr

---

# 13
Sr2ZrCd, relaxed, DFT PBE-GGA; formation enthalpy at 0 K = 81 kJ/mol of formula units; density of states at the Fermi level = 4.4 states/eV per cell; SG = Cm (8)
1.0
-1.056 7.014 -0.282
-3.501 5.753 2.244
2.755 3.091 4.210
Cd Sr Zr
1 2 1
Direct
0.771 0.771 0.727 Cd
0.030 0.030 0.971 Sr
0.239 0.239 0.260 Sr
0.459 0.459 0.542 Zr

---

# 14
Sr2ZrCd, relaxed, DFT PBE-GGA; formation enthalpy at 0 K = 138 kJ/mol of formula units; density of states at the Fermi level = 6.2 states/eV per cell; SG = P4/mmm (123)
1.0
-1.425 4.905 -0.057
-4.756 -1.367 1.225
1.149 0.391 4.893
Cd Sr Zr
1 2 1
Direct
0.000 0.500 0.500 Cd
0.000 0.000 0.000 Sr
0.500 0.500 0.000 Sr
0.500 0.000 0.500 Zr

---

# 15
Sr2ZrCd, relaxed, DFT PBE-GGA; formation enthalpy at 0 K = 94 kJ/mol of formula units; density of states at the Fermi level = 4.3 states/eV per cell; SG = Amm2 (38)
1.0
-3.170 0.497 -4.202
-3.058 -0.394 2.260
-1.705 6.550 2.061
Cd Sr Zr
1 2 1
Direct
0.500 0.572 0.732 Cd
0.000 0.966 0.945 Sr
0.500 0.284 0.306 Sr
0.000 0.679 0.517 Zr

---

# 16
Sr2ZrCd, relaxed, DFT PBE-GGA; formation enthalpy at 0 K = 115 kJ/mol of formula units; density of states at the Fermi level = 4.9 states/eV per cell; SG = Pmmm (47)
1.0
-0.840 1.696 4.714
1.036 -3.209 1.339
7.715 -0.907 1.701
Cd Sr Zr
1 2 1
Direct
0.500 0.750 0.750 Cd
0.000 0.002 0.998 Sr
0.000 0.498 0.502 Sr
0.500 0.250 0.250 Zr

---

# 17
SrZrCd, relaxed, DFT PBE-GGA; formation enthalpy at 0 K = 32 kJ/mol of formula units; density of states at the Fermi level = 7.2 states/eV per cell; energy above the lowest structure with this stoichiometry = 75 meV per atom; SG = Amm2 (38)
1.0
6.607 -0.006 -0.271
0.006 5.435 0.013
4.558 -0.016 4.789
Sr Zr Cd
2 2 2
Direct
0.292 0.592 0.767 Sr
0.725 0.092 0.334 Sr
0.367 0.092 0.121 Zr
0.937 0.092 0.692 Zr
0.648 0.592 0.022 Cd
0.037 0.592 0.410 Cd

---

# 18
Sr2ZrCd, relaxed, DFT PBE-GGA; formation enthalpy at 0 K = 126 kJ/mol of formula units; density of states at the Fermi level = 5.7 states/eV per cell; SG = R-3m (166)
1.0
-10.791 2.891 2.910
-10.484 -0.237 4.828
-9.252 2.926 6.254
Cd Sr Zr
1 2 1
Direct
0.750 0.750 0.750 Cd
0.001 0.001 0.001 Sr
0.499 0.499 0.499 Sr
0.250 0.250 0.250 Zr

---

# 19
SrZrCd, relaxed, DFT PBE-GGA; formation enthalpy at 0 K = 165 kJ/mol of formula units; density of states at the Fermi level = 5.6 states/eV per cell; energy above the lowest structure with this stoichiometry = 536 meV per atom; SG = F-43m (216)
1.0
5.209 0.000 0.000
2.605 4.511 0.000
2.605 1.504 4.253
Cd Sr Zr
1 1 1
Direct
0.250 0.250 0.250 Cd
0.000 0.000 0.000 Sr
0.500 0.500 0.500 Zr

---

# 20
SrZrCd, relaxed, DFT PBE-GGA; formation enthalpy at 0 K = 44 kJ/mol of formula units; density of states at the Fermi level = 3.2 states/eV per cell; energy above the lowest structure with this stoichiometry = 116 meV per atom; SG = I4mm (107)
1.0
7.252 -0.004 0.005
6.366 3.473 0.002
0.886 0.226 3.470
Cd Sr Zr
1 1 1
Direct
0.020 0.020 0.980 Cd
0.339 0.339 0.661 Sr
0.640 0.640 0.360 Zr

---

# 21
SrZrCd, relaxed, DFT PBE-GGA; formation enthalpy at 0 K = 106 kJ/mol of formula units; density of states at the Fermi level = 8.5 states/eV per cell; energy above the lowest structure with this stoichiometry = 329 meV per atom; SG = P4/nmm (129)
1.0
5.257 0.000 0.000
0.000 5.257 0.000
0.000 0.000 7.556
Sr Zr Cd
2 2 2
Direct
0.000 0.500 0.831 Sr
0.500 0.000 0.169 Sr
0.000 0.500 0.351 Zr
0.500 0.000 0.649 Zr
0.000 0.000 0.500 Cd
0.500 0.500 0.500 Cd

---

# 22
SrZrCd, relaxed, DFT PBE-GGA; formation enthalpy at 0 K = 36 kJ/mol of formula units; density of states at the Fermi level = 6.4 states/eV per cell; energy above the lowest structure with this stoichiometry = 91 meV per atom; SG = P-1 (2)
1.0
-0.695 1.697 2.933
3.158 -4.535 7.459
3.946 5.232 -0.064
Sr Zr Cd
2 2 2
Direct
0.736 0.883 0.546 Sr
0.243 0.383 0.538 Sr
0.299 0.028 0.132 Zr
0.680 0.238 0.952 Zr
0.210 0.722 0.923 Cd
0.769 0.545 0.161 Cd

---

# 23
SrZrCd, relaxed, DFT PBE-GGA; formation enthalpy at 0 K = 87 kJ/mol of formula units; density of states at the Fermi level = 3.8 states/eV per cell; energy above the lowest structure with this stoichiometry = 266 meV per atom; SG = P3m1 (156)
1.0
-1.847 -1.140 2.741
3.301 -1.061 -0.446
2.640 6.355 4.422
Cd Sr Zr
1 1 1
Direct
0.000 0.000 0.981 Cd
0.333 0.667 0.327 Sr
0.667 0.333 0.692 Zr

---

# 24
Sr2ZrCd, relaxed, DFT PBE-GGA; formation enthalpy at 0 K = 53 kJ/mol of formula units; density of states at the Fermi level = 4.1 states/eV per cell; SG = P4mm (99)
1.0
3.756 0.000 0.000
0.000 3.756 0.000
0.000 0.000 9.823
Cd Sr Zr
1 2 1
Direct
0.500 0.500 0.705 Cd
0.000 0.000 0.939 Sr
0.500 0.500 0.299 Sr
0.000 0.000 0.556 Zr

---

# 25
Sr2ZrCd, relaxed, DFT PBE-GGA; formation enthalpy at 0 K = 113 kJ/mol of formula units; density of states at the Fermi level = 4.6 states/eV per cell; SG = R3m (160)
1.0
-4.929 -10.425 -0.226
-1.323 -11.447 -0.510
-2.834 -10.806 2.871
Cd Sr Zr
1 2 1
Direct
0.758 0.758 0.758 Cd
0.013 0.013 0.013 Sr
0.240 0.240 0.240 Sr
0.489 0.489 0.489 Zr

---

# 26
Sr2ZrCd, relaxed, DFT PBE-GGA; formation enthalpy at 0 K = 88 kJ/mol of formula units; density of states at the Fermi level = 5.8 states/eV per cell; SG = P4/mmm (123)
1.0
-3.203 -1.514 -0.788
0.681 -2.671 2.362
-4.295 5.315 7.248
Cd Sr Zr
1 2 1
Direct
0.500 0.500 0.750 Cd
0.000 0.000 0.990 Sr
0.000 0.000 0.510 Sr
0.500 0.500 0.250 Zr

---

# 27
Sr2ZrCd, relaxed, DFT PBE-GGA; formation enthalpy at 0 K = 141 kJ/mol of formula units; density of states at the Fermi level = 5.1 states/eV per cell; SG = Immm (71)
1.0
6.580 -0.004 0.009
2.999 5.857 -0.009
-4.328 -3.681 3.318
Cd Sr Zr
1 2 1
Direct
0.250 0.750 0.500 Cd
0.017 0.017 0.000 Sr
0.483 0.483 0.000 Sr
0.750 0.250 0.500 Zr

---

# 28
Sr4ZrCd, relaxed, DFT PBE-GGA; formation enthalpy at 0 K = 408 kJ/mol of formula units; density of states at the Fermi level = 11.8 states/eV per cell; SG = F-43m (216)
1.0
0.000 4.990 4.990
4.990 0.000 4.990
4.990 4.990 0.000
Sr Zr Cd
4 1 1
Direct
0.873 0.376 0.376 Sr
0.376 0.376 0.873 Sr
0.376 0.873 0.376 Sr
0.376 0.376 0.376 Sr
0.750 0.750 0.750 Zr
0.000 0.000 0.000 Cd